[1]
## NdTaHg (GGA-PBE)

Data for a relaxed NdTaHg crystal.

POSCAR file:
```
NdTaHg
1.0
0.0000 3.5319 3.5319
3.5319 0.0000 3.5319
3.5319 3.5319 0.0000
Ta Hg Nd
1 1 1
Cartesian
5.2978 5.2978 5.2978
1.7659 1.7659 1.7659
0.0000 0.0000 0.0000
```

E above lowest polymorph: 456 meV/atom
Space-group type: F-43m
E_form: 1.238 eV/atom
Size of the total moment: 0.81 μB/atom
ρ: 9.9 g/cm³

***

[2]
## ScAgTe3Pb (GGA-PBE)

Data for a relaxed ScAgTe3Pb crystal.

POSCAR file:
```
ScAgTe3Pb
1.0
-3.4778 -3.4766 -9.9134
4.0496 -0.3790 -1.2878
0.2211 -13.6981 4.7263
Sc Pb Ag Te
4 4 4 12
Cartesian
-0.4956 -12.1012 -1.5308
1.2884 -5.4524 -4.9441
-2.2365 -13.7219 -6.5280
3.0292 -3.8317 0.0531
-1.4126 -9.7577 -5.1040
2.2054 -7.7960 -1.3708
0.3648 -3.2349 -8.5010
0.4280 -14.3188 2.0261
0.6160 -12.6870 -4.9294
0.1767 -4.8666 -1.5454
-1.5767 -5.7058 -6.8123
2.3695 -11.8478 0.3375
0.4497 -7.6292 -6.9408
1.3314 -10.5218 -3.3172
2.1480 -3.3740 -2.8525
-1.3553 -14.1796 -3.6223
-0.9048 -3.4768 -5.3555
-2.3381 -5.0168 -9.4094
3.1309 -12.5368 2.9345
-0.5386 -7.0318 -3.1576
1.6976 -14.0768 -1.1194
0.3430 -9.9244 0.4659
0.8981 -5.7029 0.9690
-0.1053 -11.8507 -7.4439
```

E above lowest polymorph: 29 meV/atom
Space-group type: Pnma
Size of the total moment: 0.00 μB/atom
ρ: 7.2 g/cm³

***

[3]
## HgMo2 (GGA-PBE)

Data for a relaxed HgMo2 crystal.

POSCAR file:
```
HgMo2
1.0
0.0000 3.7715 3.7715
3.7715 0.0000 3.7715
3.7715 3.7715 0.0000
Mo Hg
4 2
Cartesian
4.7144 2.8286 2.8286
2.8286 2.8286 4.7144
2.8286 4.7144 2.8286
4.7144 4.7144 4.7144
0.0000 0.0000 0.0000
1.8858 1.8858 1.8858
```

Space-group type: Fd-3m
E_form: 0.671 eV/atom
Size of the total moment: 0.00 μB/atom
ρ: 12.1 g/cm³

***

What is the ρ in the first record? 9.9 g/cm³

***

Look up the ρ of the first one. 9.9 g/cm³

***

Please write out number 3 again, unchanged.
## HgMo2 (GGA-PBE)

Data for a relaxed HgMo2 crystal.

POSCAR file:
```
HgMo2
1.0
0.0000 3.7715 3.7715
3.7715 0.0000 3.7715
3.7715 3.7715 0.0000
Mo Hg
4 2
Cartesian
4.7144 2.8286 2.8286
2.8286 2.8286 4.7144
2.8286 4.7144 2.8286
4.7144 4.7144 4.7144
0.0000 0.0000 0.0000
1.8858 1.8858 1.8858
```

Space-group type: Fd-3m
E_form: 0.671 eV/atom
Size of the total moment: 0.00 μB/atom
ρ: 12.1 g/cm³